Record 1
CeInH8Ru2 | PBE-GGA | optimized geometry

M_tot ... 0.97 μB per cell
Electronic total energy ... -56.2 eV/cell

Cell lengths 4.4592, 4.7193, 6.5156 Å; angles 66.89, 69.99, 61.81 degrees
With the nearest neighbours (Å) after each atom.
Atoms (fractional coordinates):
1 Ce 0.5000 0.5000 0.5000  10 H 2.34-2.49
2 In 0.0000 0.0000 0.0000  8 H 2.32-2.46
3 H 0.9237 0.4892 0.6633  1 Ru 1.68
4 H 0.6994 0.4789 0.1223  1 Ru 1.67
5 H 0.0763 0.5108 0.3367  1 Ru 1.68
6 H 0.3006 0.5211 0.8777  1 Ru 1.67
7 H 0.5529 0.0521 0.3302  1 Ru 1.67
8 H 0.4471 0.9479 0.6698  1 Ru 1.67
9 H 0.0648 0.0521 0.3302  1 Ru 1.67
10 H 0.9352 0.9479 0.6698  1 Ru 1.67
11 Ru 0.2835 0.2861 0.1469  4 H 1.67-1.68
12 Ru 0.7165 0.7139 0.8531  4 H 1.67-1.68

---

Record 2
Ce2HIr | PBE-GGA | optimized geometry

M_tot ... 0.76 μB per cell
ΔE to the lowest computed polymorph ... 96.6 meV per atom

Cell lengths 3.8344, 3.8344, 6.9156 Å; angles 73.91, 73.91, 60.00 degrees
With the nearest neighbours (Å) after each atom.
Atoms (fractional coordinates):
1 Ce 0.0879 0.0879 0.7363  3 H 2.67, 3 Ir 2.80
2 Ce 0.2478 0.2478 0.2567  3 H 2.76, 3 Ir 2.79
3 H 0.4970 0.4970 0.5091  6 Ce 2.67-2.76
4 Ir 0.6674 0.6674 0.9978  6 Ce 2.79-2.80

---

Record 3
CeHIr | PBE-GGA | optimized geometry

M_tot ... 0.00 μB per cell
ΔE to the lowest computed polymorph ... 391.7 meV per atom

Cell lengths 3.9334, 3.9367, 6.9048 Å; angles 90.00, 106.49, 90.00 degrees
With the nearest neighbours (Å) after each atom.
Atoms (fractional coordinates):
1 H 0.2291 0.2500 0.9593  4 Ir 1.98-1.99
2 H 0.7709 0.7500 0.0407  4 Ir 1.98-1.99
3 Ir 0.7476 0.2500 0.9949  4 H 1.98-1.99
4 Ir 0.2524 0.7500 0.0051  4 H 1.98-1.99
5 Ce 0.4132 0.2500 0.3232  1 H 2.41
6 Ce 0.5868 0.7500 0.6767  1 H 2.41

---

Record 4
Ce2HIr | PBE-GGA | optimized geometry

M_tot ... 1.64 μB per cell
ΔE to the lowest computed polymorph ... 195.9 meV per atom

Cell lengths 4.1625, 4.1625, 7.7842 Å; angles 74.49, 74.49, 60.00 degrees
With the nearest neighbours (Å) after each atom.
Atoms (fractional coordinates):
1 H 0.0000 0.0000 0.0000  2 Ce 2.23
2 Ir 0.5000 0.5000 0.5000  6 Ce 2.82
3 Ce 0.1004 0.1004 0.6988  1 H 2.23
4 Ce 0.8996 0.8996 0.3012  1 H 2.23

---

Record 5
Ce2HIr | PBE-GGA | optimized geometry

M_tot ... 6.32 μB per cell
ΔE to the lowest computed polymorph ... 0.0 meV per atom

Cell lengths 4.9766, 6.5899, 9.4916 Å; angles 90.00, 90.00, 90.00 degrees
With the nearest neighbours (Å) after each atom.
Atoms (fractional coordinates):
1 Ce 0.0626 0.4326 0.8553  2 H 2.37
2 Ce 0.5626 0.5674 0.1447  2 H 2.37
3 Ce 0.5626 0.0674 0.3553  2 H 2.37
4 Ce 0.0626 0.9326 0.6447  2 H 2.37
5 Ce 0.5624 0.1166 0.9072  3 H 2.42-2.52, 1 Ir 2.65
6 Ce 0.0624 0.8834 0.0928  3 H 2.42-2.52, 1 Ir 2.65
7 Ce 0.0624 0.3834 0.4072  3 H 2.42-2.52, 1 Ir 2.65
8 Ce 0.5624 0.6166 0.5928  3 H 2.42-2.52, 1 Ir 2.65
9 H 0.0622 0.0734 0.8746  5 Ce 2.37-2.52
10 H 0.5622 0.9266 0.1254  5 Ce 2.37-2.52
11 H 0.5622 0.4266 0.3746  5 Ce 2.37-2.52
12 H 0.0622 0.5734 0.6254  5 Ce 2.37-2.52
13 Ir 0.0626 0.8237 0.3692  5 Ce 2.65-2.96, 1 H 2.94
14 Ir 0.5626 0.1763 0.6308  5 Ce 2.65-2.96, 1 H 2.94
15 Ir 0.5626 0.6763 0.8692  5 Ce 2.65-2.96, 1 H 2.94
16 Ir 0.0626 0.3237 0.1308  5 Ce 2.65-2.96, 1 H 2.94

---

Record 6
Ce8HIr5 | PBE-GGA | optimized geometry

M_tot ... 4.49 μB per cell
Electronic total energy ... -103.6 eV/cell

Cell lengths 7.5140, 7.5140, 7.5140 Å; angles 109.97, 108.48, 109.97 degrees
With the nearest neighbours (Å) after each atom.
Atoms (fractional coordinates):
1 Ce 0.1317 0.7455 0.9902  1 H 2.70, 2 Ir 2.78-2.79
2 Ce 0.0098 0.1415 0.7553  1 H 2.70, 2 Ir 2.78-2.79
3 Ce 0.7230 0.2359 0.3542  3 Ir 2.75-2.82
4 Ce 0.6458 0.3688 0.8817  3 Ir 2.75-2.82
5 Ce 0.5129 0.6312 0.2770  3 Ir 2.75-2.82
6 Ce 0.6139 0.8585 0.8683  1 H 2.70, 2 Ir 2.78-2.79
7 Ce 0.2447 0.2545 0.3861  1 H 2.70, 2 Ir 2.78-2.79
8 Ce 0.1183 0.7641 0.4871  3 Ir 2.75-2.82
9 H 0.2500 0.5000 0.7500  4 Ce 2.70
10 Ir 0.0083 0.3756 0.1325  4 Ce 2.75-2.82
11 Ir 0.8675 0.8758 0.2431  4 Ce 2.75-2.82
12 Ir 0.7569 0.6244 0.6327  4 Ce 2.75-2.82
13 Ir 0.5000 0.0000 0.5000  4 Ce 2.76
14 Ir 0.3673 0.1242 0.9917  4 Ce 2.75-2.82

---

Record 7
CeH8Ir2 | PBE-GGA | optimized geometry

M_tot ... 1.00 μB per cell
Electronic total energy ... -51.1 eV/cell

Cell lengths 4.4695, 4.4695, 5.9272 Å; angles 112.15, 112.15, 90.00 degrees
With the nearest neighbours (Å) after each atom.
Atoms (fractional coordinates):
1 Ce 0.5000 0.5000 0.0000  8 H 2.36
2 H 0.9335 0.9335 0.3186  2 Ir 1.83, 3 H 1.84-2.02
3 H 0.0665 0.0665 0.6814  2 Ir 1.83, 3 H 1.84-2.02
4 H 0.6149 0.6149 0.6814  2 Ir 1.83, 3 H 1.84-2.02
5 H 0.6149 0.0665 0.6814  2 Ir 1.83, 3 H 1.84-2.02
6 H 0.3851 0.3851 0.3186  2 Ir 1.83, 3 H 1.84-2.02
7 H 0.3851 0.9335 0.3186  2 Ir 1.83, 3 H 1.84-2.02
8 H 0.9335 0.3851 0.3186  2 Ir 1.83, 3 H 1.84-2.02
9 H 0.0665 0.6149 0.6814  2 Ir 1.83, 3 H 1.84-2.02
10 Ir 0.2500 0.7500 0.5000  8 H 1.83
11 Ir 0.7500 0.2500 0.5000  8 H 1.83

---

Record 8
Ce5H2Ir2 | PBE-GGA | optimized geometry

M_tot ... 9.27 μB per cell
Electronic total energy ... -115.9 eV/cell

Cell lengths 6.4781, 7.1418, 9.9683 Å; angles 110.99, 108.96, 90.00 degrees
With the nearest neighbours (Å) after each atom.
Atoms (fractional coordinates):
1 Ce 0.2157 0.6519 0.8439  2 H 2.43-2.62
2 Ce 0.7843 0.8080 0.1561  2 H 2.43-2.62
3 Ce 0.1282 0.1519 0.8439  2 H 2.43-2.62
4 Ce 0.8718 0.3080 0.1561  2 H 2.43-2.62
5 Ce 0.3301 0.9943 0.2860  2 H 2.51-2.65
6 Ce 0.6699 0.7084 0.7140  2 H 2.51-2.65
7 Ce 0.4559 0.4943 0.2860  2 H 2.51-2.65
8 Ce 0.5441 0.2084 0.7140  2 H 2.51-2.65
9 Ce 0.0898 0.7504 0.5000  2 H 2.39
10 Ce 0.9102 0.2504 0.5000  2 H 2.39
11 H 0.1088 0.6573 0.2493  5 Ce 2.39-2.65
12 H 0.8912 0.4080 0.7507  5 Ce 2.39-2.65
13 H 0.6405 0.1573 0.2493  5 Ce 2.39-2.65
14 H 0.3595 0.9080 0.7507  5 Ce 2.39-2.65
15 Ir 0.0000 0.9559 0.0000  6 Ce 2.73-2.87
16 Ir 0.5000 0.4559 0.0000  6 Ce 2.73-2.87
17 Ir 0.3128 0.4019 0.5000  6 Ce 2.82-2.96
18 Ir 0.6872 0.9019 0.5000  6 Ce 2.82-2.96

---

Record 9
CeHIr | PBE-GGA | optimized geometry

M_tot ... 0.00 μB per cell
ΔE to the lowest computed polymorph ... 154.4 meV per atom

Cell lengths 3.8795, 3.8795, 4.5143 Å; angles 115.45, 115.45, 90.00 degrees
With the nearest neighbours (Å) after each atom.
Atoms (fractional coordinates):
1 H 0.9812 0.9812 0.9624  1 Ir 1.64
2 Ir 0.2102 0.2102 0.4204  1 H 1.64
3 Ce 0.6586 0.6586 0.3172  1 H 2.31

---

Record 10
Ce2HIr2 | PBE-GGA | optimized geometry

M_tot ... 0.01 μB per cell
Electronic total energy ... -71.5 eV/cell

Cell lengths 4.5056, 5.7969, 7.5545 Å; angles 90.00, 107.35, 90.00 degrees
With the nearest neighbours (Å) after each atom.
Atoms (fractional coordinates):
1 Ce 0.4316 0.4410 0.8633  2 H 2.43-2.50
2 Ce 0.8229 0.9746 0.6458  2 H 2.53
3 Ce 0.1771 0.4746 0.3542  2 H 2.53
4 Ce 0.5684 0.9410 0.1367  2 H 2.43-2.50
5 H 0.3990 0.0303 0.7979  4 Ce 2.43-2.53
6 H 0.6010 0.5303 0.2021  4 Ce 2.43-2.53
7 Ir 0.9957 0.7155 0.9915  6 Ce 2.81-2.97, 4 Ir 2.90-3.08, 2 H 2.92
8 Ir 0.8173 0.4729 0.6346  6 Ce 2.80-3.03, 2 Ir 2.93-3.08
9 Ir 0.1827 0.9729 0.3654  6 Ce 2.80-3.03, 2 Ir 2.93-3.08
10 Ir 0.0043 0.2155 0.0085  6 Ce 2.81-2.97, 4 Ir 2.90-3.08, 2 H 2.92

---

Record 11
CeH2Ir | PBE-GGA | optimized geometry

M_tot ... 0.00 μB per cell
ΔE to the lowest computed polymorph ... 44.3 meV per atom

Cell lengths 4.1784, 3.8221, 6.4618 Å; angles 107.16, 90.00, 90.00 degrees
With the nearest neighbours (Å) after each atom.
Atoms (fractional coordinates):
1 Ce 0.2500 0.6481 0.2961  7 H 2.31-2.58
2 Ce 0.7500 0.3519 0.7039  7 H 2.31-2.58
3 H 0.7500 0.7469 0.4932  1 H 2.29, 4 Ce 2.31-2.42
4 H 0.2500 0.2531 0.5068  1 H 2.29, 4 Ce 2.31-2.42
5 H 0.7500 0.5612 0.1215  2 Ir 1.91
6 H 0.2500 0.4388 0.8785  2 Ir 1.91
7 Ir 0.7500 0.0693 0.1379  2 H 1.91
8 Ir 0.2500 0.9307 0.8621  2 H 1.91

---

Record 12
Ce3H3Ir | PBE-GGA | optimized geometry

M_tot ... 3.39 μB per cell
Electronic total energy ... -80.2 eV/cell

Cell lengths 6.6769, 6.6769, 7.7019 Å; angles 64.31, 64.31, 60.00 degrees
With the nearest neighbours (Å) after each atom.
Atoms (fractional coordinates):
1 Ce 0.2513 0.5716 0.2650  4 H 2.34-2.38
2 Ce 0.9121 0.2513 0.2650  4 H 2.34-2.38
3 Ce 0.5716 0.9121 0.2650  4 H 2.34-2.38
4 Ce 0.4284 0.0879 0.7350  4 H 2.34-2.38
5 Ce 0.0879 0.7487 0.7350  4 H 2.34-2.38
6 Ce 0.7487 0.4284 0.7350  4 H 2.34-2.38
7 H 0.4588 0.7966 0.6157  4 Ce 2.34-2.38
8 H 0.7966 0.1289 0.6157  4 Ce 2.34-2.38
9 H 0.1289 0.4588 0.6157  4 Ce 2.34-2.38
10 H 0.8711 0.5412 0.3843  4 Ce 2.34-2.38
11 H 0.2034 0.8711 0.3843  4 Ce 2.34-2.38
12 H 0.5412 0.2034 0.3843  4 Ce 2.34-2.38
13 Ir 0.3334 0.3334 0.9999  6 Ce 2.82-2.83
14 Ir 0.6666 0.6666 0.0001  6 Ce 2.82-2.83

---

Record 13
CeH2Ir | PBE-GGA | optimized geometry

M_tot ... 0.45 μB per cell
ΔE to the lowest computed polymorph ... 0.0 meV per atom

Cell lengths 4.1922, 4.1922, 4.2955 Å; angles 60.79, 60.79, 60.00 degrees
With the nearest neighbours (Å) after each atom.
Atoms (fractional coordinates):
1 H 0.1593 0.1593 0.5221  1 Ir 1.70
2 H 0.8407 0.8407 0.4779  1 Ir 1.70
3 Ir 0.0000 0.0000 0.0000  2 H 1.70
4 Ce 0.5000 0.5000 0.5000  6 H 2.42

---

Record 14
CeHIr3 | PBE-GGA | optimized geometry

M_tot ... 0.00 μB per cell
Electronic total energy ... -37.9 eV/cell

Cell lengths 4.1328, 4.1328, 4.1328 Å; angles 90.00, 90.00, 90.00 degrees
With the nearest neighbours (Å) after each atom.
Atoms (fractional coordinates):
1 H 0.0000 0.0000 0.0000  6 Ir 2.07
2 Ir 0.0000 0.5000 0.0000  2 H 2.07
3 Ir 0.0000 0.0000 0.5000  2 H 2.07
4 Ir 0.5000 0.0000 0.0000  2 H 2.07
5 Ce 0.5000 0.5000 0.5000  12 Ir 2.92

---

Record 15
Ce3HIr | PBE-GGA | optimized geometry

M_tot ... 1.69 μB per cell
Electronic total energy ... -63.9 eV/cell

Cell lengths 5.1903, 6.2173, 6.9501 Å; angles 90.00, 68.09, 90.00 degrees
With the nearest neighbours (Å) after each atom.
Atoms (fractional coordinates):
1 Ce 0.5987 0.6653 0.5206  2 H 2.61, 2 Ir 2.77-2.91, 1 Ce 2.90
2 Ce 0.7956 0.4396 0.1275  1 H 2.34
3 Ce 0.1133 0.3402 0.4919  2 H 2.31-2.40
4 Ce 0.9124 0.8402 0.8936  2 H 2.31-2.40
5 Ce 0.4269 0.1652 0.8649  2 H 2.61, 2 Ir 2.77-2.91, 1 Ce 2.90
6 Ce 0.2301 0.9396 0.2579  1 H 2.34
7 H 0.9384 0.2073 0.8417  3 Ce 2.31-2.40
8 H 0.0872 0.7073 0.5438  3 Ce 2.31-2.40
9 Ir 0.3854 0.6257 0.9477  7 Ce 2.77-3.07
10 Ir 0.6403 0.1257 0.4378  7 Ce 2.77-3.07

---

Record 16
Ce12HIr6 | PBE-GGA | optimized geometry

M_tot ... 10.57 μB per cell
Electronic total energy ... -136.4 eV/cell

Cell lengths 8.0777, 8.0777, 8.0777 Å; angles 99.27, 99.27, 99.27 degrees
With the nearest neighbours (Å) after each atom.
Atoms (fractional coordinates):
1 Ce 0.8206 0.5864 0.4191  3 Ir 2.71-3.02
2 Ce 0.4191 0.8206 0.5864  3 Ir 2.71-3.02
3 Ce 0.5864 0.4191 0.8206  3 Ir 2.71-3.02
4 Ce 0.1794 0.4136 0.5809  3 Ir 2.71-3.02
5 Ce 0.5809 0.1794 0.4136  3 Ir 2.71-3.02
6 Ce 0.4136 0.5809 0.1794  3 Ir 2.71-3.02
7 Ce 0.0732 0.9566 0.3023  1 H 2.51
8 Ce 0.0434 0.6977 0.9268  1 H 2.51
9 Ce 0.6977 0.9268 0.0434  1 H 2.51
10 Ce 0.9268 0.0434 0.6977  1 H 2.51
11 Ce 0.9566 0.3023 0.0732  1 H 2.51
12 Ce 0.3023 0.0732 0.9566  1 H 2.51
13 H 0.0000 0.0000 0.0000  6 Ce 2.51
14 Ir 0.7010 0.8763 0.3862  5 Ce 2.71-3.02
15 Ir 0.6138 0.2990 0.1237  5 Ce 2.71-3.02
16 Ir 0.1237 0.6138 0.2990  5 Ce 2.71-3.02
17 Ir 0.2990 0.1237 0.6138  5 Ce 2.71-3.02
18 Ir 0.3862 0.7010 0.8763  5 Ce 2.71-3.02
19 Ir 0.8763 0.3862 0.7010  5 Ce 2.71-3.02

---

Record 17
Ce3H2Ir2 | PBE-GGA | optimized geometry

M_tot ... 2.08 μB per cell
Electronic total energy ... -92.2 eV/cell

Cell lengths 5.9075, 7.5932, 6.3366 Å; angles 90.00, 61.84, 90.00 degrees
With the nearest neighbours (Å) after each atom.
Atoms (fractional coordinates):
1 Ce 0.5000 0.5000 0.0000  2 H 2.26
2 Ce 0.0000 0.0000 0.0000  2 H 2.26
3 Ce 0.6821 0.0905 0.6477  3 H 2.31-2.34
4 Ce 0.8179 0.5905 0.3523  3 H 2.31-2.34
5 Ce 0.1821 0.4095 0.6477  3 H 2.31-2.34
6 Ce 0.3179 0.9095 0.3523  3 H 2.31-2.34
7 H 0.5778 0.3837 0.6446  4 Ce 2.26-2.34
8 H 0.9222 0.8837 0.3554  4 Ce 2.26-2.34
9 H 0.0778 0.1163 0.6446  4 Ce 2.26-2.34
10 H 0.4222 0.6163 0.3554  4 Ce 2.26-2.34
11 Ir 0.8638 0.7405 0.7788  2 Ce 2.66-2.75, 1 H 2.76, 2 Ir 2.96
12 Ir 0.3638 0.7595 0.7788  2 Ce 2.66-2.75, 1 H 2.76, 2 Ir 2.96
13 Ir 0.6362 0.2405 0.2212  2 Ce 2.66-2.75, 1 H 2.76, 2 Ir 2.96
14 Ir 0.1362 0.2595 0.2212  2 Ce 2.66-2.75, 1 H 2.76, 2 Ir 2.96

---

Record 18
CeH4Ir | PBE-GGA | optimized geometry

M_tot ... 1.83 μB per cell
ΔE to the lowest computed polymorph ... 51.4 meV per atom

Cell lengths 3.8851, 4.9946, 6.4434 Å; angles 90.00, 107.55, 90.00 degrees
With the nearest neighbours (Å) after each atom.
Atoms (fractional coordinates):
1 Ce 0.3724 0.7500 0.7448  8 H 2.43-2.52
2 Ce 0.6276 0.2500 0.2552  8 H 2.43-2.52
3 H 0.1973 0.4881 0.3945  1 Ir 1.71
4 H 0.8027 0.5119 0.6055  1 Ir 1.71
5 H 0.1973 0.0119 0.3945  1 Ir 1.71
6 H 0.8027 0.9881 0.6055  1 Ir 1.71
7 H 0.6023 0.7500 0.2046  2 Ir 1.94
8 H 0.3977 0.2500 0.7954  2 Ir 1.94
9 H 0.0000 0.5000 0.0000  2 Ir 1.82
10 H 0.0000 0.0000 0.0000  2 Ir 1.82
11 Ir 0.1078 0.7500 0.2155  4 H 1.71-1.82
12 Ir 0.8922 0.2500 0.7845  4 H 1.71-1.82

---

Record 19
CeHIr | PBE-GGA | optimized geometry

M_tot ... 0.00 μB per cell
ΔE to the lowest computed polymorph ... 157.9 meV per atom

Cell lengths 3.5537, 3.9463, 3.9463 Å; angles 120.00, 90.00, 90.00 degrees
With the nearest neighbours (Å) after each atom.
Atoms (fractional coordinates):
1 H 0.1672 0.6667 0.3333  3 Ir 2.28
2 Ir 0.1665 0.0000 0.0000  3 H 2.28
3 Ce 0.6663 0.3333 0.6667  6 H 2.89, 6 Ir 2.89

---

Record 20
Ce6HIr2 | PBE-GGA | optimized geometry

M_tot ... 3.07 μB per cell
Electronic total energy ... -121.2 eV/cell

Cell lengths 6.1481, 7.0345, 9.7375 Å; angles 90.00, 89.88, 90.00 degrees
With the nearest neighbours (Å) after each atom.
Atoms (fractional coordinates):
1 Ce 0.1303 0.0324 0.2496  1 H 2.58, 1 Ir 2.69
2 Ce 0.1359 0.3438 0.5547  1 H 2.61, 1 Ir 2.81
3 Ce 0.1314 0.3466 0.9470  1 H 2.56, 1 Ir 2.82
4 Ce 0.3686 0.8466 0.5531  1 H 2.56, 1 Ir 2.82
5 Ce 0.3641 0.8438 0.9453  1 H 2.61, 1 Ir 2.81
6 Ce 0.3697 0.5324 0.2504  1 H 2.58, 1 Ir 2.69
7 Ce 0.8697 0.9676 0.7504  1 H 2.58, 1 Ir 2.69
8 Ce 0.8641 0.6562 0.4453  1 H 2.61, 1 Ir 2.81
9 Ce 0.8686 0.6534 0.0530  1 H 2.56, 1 Ir 2.82
10 Ce 0.6314 0.1534 0.4469  1 H 2.56, 1 Ir 2.82
11 Ce 0.6359 0.1562 0.0547  1 H 2.61, 1 Ir 2.81
12 Ce 0.6303 0.4676 0.7496  1 H 2.58, 1 Ir 2.69
13 H 0.5000 0.5000 0.0000  6 Ce 2.56-2.61
14 H 0.0000 0.0000 0.5000  6 Ce 2.56-2.61
15 Ir 0.0868 0.6356 0.7489  5 Ce 2.69-2.97
16 Ir 0.4132 0.1356 0.7511  5 Ce 2.69-2.97
17 Ir 0.5868 0.8644 0.2489  5 Ce 2.69-2.97
18 Ir 0.9132 0.3644 0.2511  5 Ce 2.69-2.97